AcNdNiRh: relaxed, PBE.

Values from the calculation:
* V: 94.28 Å³ per cell
* relative energy among the computed polymorphs: 0.105 eV/atom
* raw total energy: -5.88 eV/atom

Structure (POSCAR):
```
AcNdNiRh
1.0
0.0000 3.6123 3.6123
3.6123 0.0000 3.6123
3.6123 3.6123 0.0000
Ac Nd Ni Rh
1 1 1 1
Direct
0.0000 0.0000 0.0000
0.5000 0.5000 0.5000
0.7500 0.7500 0.7500
0.2500 0.2500 0.2500
```

=====

HoP2PtRh5: relaxed, PBE.

Values from the calculation:
* V: 142.48 Å³ per cell
* raw total energy: -6.93 eV/atom

Structure (POSCAR):
```
HoP2PtRh5
1.0
4.5541 0.0000 0.0000
0.0000 4.5541 0.0000
0.0000 0.0000 6.8698
Ho P Pt Rh
1 2 1 5
Direct
0.0000 0.0000 0.0000
0.5000 0.5000 0.3400
0.5000 0.5000 0.6600
0.0000 0.0000 0.5000
0.0000 0.5000 0.2825
0.0000 0.5000 0.7175
0.5000 0.0000 0.2825
0.5000 0.0000 0.7175
0.5000 0.5000 0.0000
```

=====

CdBP2S: relaxed, PBE.

Values from the calculation:
* V: 82.36 Å³ per cell
* relative energy among the computed polymorphs: 0.000 eV/atom
* raw total energy: -3.76 eV/atom
* uncorrected formation energy: 0.748 eV per atom

Structure (POSCAR):
```
CdBP2S
1.0
3.9852 0.0000 0.0000
0.0000 3.9852 0.0000
0.0000 0.0000 5.1856
Cd B P S
1 1 2 1
Direct
0.0000 0.0000 0.0000
0.5000 0.5000 0.5000
0.0000 0.5000 0.5000
0.5000 0.0000 0.5000
0.5000 0.5000 0.0000
```

=====

The highest V belongs to which entry? HoP2PtRh5

=====

Among the records above, which one has the lowest raw total energy? HoP2PtRh5